PrNdGa4 | PBE-GGA | relaxed

Properties
Spin magnetization = 0.0 μB/cell
DOS at the Fermi energy = 4.21 states/eV/f.u.
ΔE_f = -3.390 eV per formula unit

Lattice parameters (Å, degrees): 7.993 7.993 7.993 90.00 90.00 90.00
Space group F-43m (No. 216)
Asymmetric unit:
Pr1 0.000 0.000 0.000 x4
Nd1 0.250 0.250 0.750 x4
Ga1 0.125 0.125 0.375 x16